# Dy2BeVO6 | Alexandria via LeMat-Bulk | PBE with a Hubbard U | relaxed
data_Dy2BeVO6
_chemical_formula_sum 'Dy4 Be2 V2 O12'
_symmetry_space_group_name_H-M 'P 1 21/c 1'
_symmetry_Int_Tables_number 14
_cell_length_a 5.221
_cell_length_b 5.491
_cell_length_c 8.929
_cell_angle_alpha 90.00
_cell_angle_beta 125.42
_cell_angle_gamma 90.00
loop_
_symmetry_equiv_pos_as_xyz
'x,y,z'
'-x,-y,-z'
'-x,y+1/2,-z+1/2'
'x,-y+1/2,z+1/2'
loop_
_atom_site_label
_atom_site_fract_x
_atom_site_fract_y
_atom_site_fract_z
_atom_site_occupancy
Dy1 0.232 0.066 0.249 1
Be1 0.000 0.000 0.500 1
V1 0.500 0.000 0.000 1
O1 0.148 0.205 0.953 1
O2 0.247 0.697 0.953 1
O3 0.335 0.021 0.747 1
# * uncorrected energy: -7.85 eV per atom
# * volume: 208.6 Å³ per cell